Compound: KMo2Rh
Source: the Alexandria database
Functional: PBE-GGA
Structure: relaxed

The energy above the most stable polymorph in this dataset is 2.59 eV per formula unit. For the energy of formation, the calculation gives 1.22 eV/atom. The space-group type is Cmmm.

a = 5.629 Å, b = 5.629 Å, c = 2.690 Å
α = 90.00°, β = 90.00°, γ = 123.10°
Fractional coordinates of all 4 atoms:
1 K 0.000 0.000 0.000
2 Mo 0.000 0.500 0.500
3 Mo 0.500 0.000 0.500
4 Rh 0.500 0.500 0.000